Here is crystalline Pm4Pr5Nd at its relaxed geometry from the Alexandria database. Energies are from PBE.

a b c (Å): 29.0003 3.5410 7.0151
angles (deg): 90.00 97.29 90.00
Closest atoms and distances in Å follow each position.
Space group C2/m (No. 12)
Unique sites:
Pm  0.0938  0.0000  0.2982  4 Pr 3.52-3.68, 4 Pm 3.54-3.92, 2 Nd 3.67
Pm  0.1073  0.5000  0.8093  1 Nd 3.54, 4 Pm 3.54-3.92, 5 Pr 3.56-3.74
Pr  0.0000  0.5000  0.5000  2 Nd 3.51, 2 Pr 3.54, 6 Pm 3.56-3.68
Pr  0.2006  0.0000  0.5985  8 Pr 3.49-3.78, 3 Pm 3.52-3.69
Pr  0.2053  0.0000  0.1033  8 Pr 3.49-3.68, 3 Pm 3.67-3.74
Nd  0.0000  0.5000  0.0000  2 Pr 3.51, 6 Pm 3.54-3.67, 2 Nd 3.54

- crystal system = monoclinic
- formation energy from the elements (eV/atom) = 0.14
- ΔE to the lowest computed polymorph (meV/atom) = 0.0

Here is crystalline ErPaC at its relaxed geometry from the Alexandria database. Energies are from PBE.

a b c (Å): 3.5154 3.5849 11.9313
angles (deg): 90.00 90.00 90.00
Closest atoms and distances in Å follow each position.
Space group Amm2 (No. 38)
Unique sites:
Er  0.0000  0.0000  0.0000  2 C 2.30
Pa  0.5000  0.0000  0.2680  2 C 2.20
C  0.0000  0.0000  0.3785  2 Pa 2.20, 2 Er 2.30

- crystal system = orthorhombic
- formation energy from the elements (eV/atom) = 0.29
- ΔE to the lowest computed polymorph (meV/atom) = 511.6

Here is crystalline LiPrNdSc at its relaxed geometry from the Alexandria database. Energies are from PBE.

a b c (Å): 7.7473 7.7473 7.7473
angles (deg): 90.00 90.00 90.00
Closest atoms and distances in Å follow each position.
Space group F-43m (No. 216)
Unique sites:
Li  0.0000  0.0000  0.0000  4 Pr 3.35, 4 Nd 3.35
Pr  0.2500  0.2500  0.2500  4 Li 3.35, 4 Sc 3.35
Nd  0.2500  0.2500  0.7500  4 Li 3.35, 4 Sc 3.35
Sc  0.0000  0.0000  0.5000  4 Nd 3.35, 4 Pr 3.35

- crystal system = cubic
- formation energy from the elements (eV/atom) = 0.13

Here is crystalline HgAuO3 at its relaxed geometry from the Alexandria database. Energies are from PBE.

a b c (Å): 4.1537 4.1537 4.1537
angles (deg): 90.00 90.00 90.00
Closest atoms and distances in Å follow each position.
Space group Pm-3m (No. 221)
Unique sites:
Hg  0.0000  0.0000  0.0000  6 O 2.08
Au  0.5000  0.5000  0.5000  12 O 2.94
O  0.0000  0.0000  0.5000  2 Hg 2.08

- crystal system = cubic
- total energy (eV/atom) = -2.80